[1]
{"formula": "LiRe2Au", "functional": "PBE", "state": "relaxed", "lattice_angstrom": [[2.7398, 0.0000, 0.0000], [0.0000, 4.9191, 0.0000], [-0.0665, 0.0000, 4.6032]], "species": ["Li", "Re", "Re", "Au"], "frac_coords": [[0.0000, 0.0000, 0.0000], [0.2872, 0.5000, 0.7582], [0.7128, 0.5000, 0.2418], [0.5000, 0.0000, 0.5000]], "magmom_total_mub_per_fu": 0.00, "spacegroup": "No. 10", "delta_e_f_ev_per_atom": 0.31}



[2]
{"formula": "LiRe2Au", "functional": "PBE", "state": "relaxed", "lattice_angstrom": [[0.0000, 3.0970, 3.0970], [3.0970, 0.0000, 3.0970], [3.0970, 3.0970, 0.0000]], "species": ["Li", "Re", "Re", "Au"], "frac_coords": [[0.0000, 0.0000, 0.0000], [0.2500, 0.2500, 0.2500], [0.7500, 0.7500, 0.7500], [0.5000, 0.5000, 0.5000]], "magmom_total_mub_per_fu": 0.00, "spacegroup": "No. 225", "delta_e_f_ev_per_atom": 0.91}



[3]
{"formula": "LiRe4Au", "functional": "PBE", "state": "relaxed", "lattice_angstrom": [[0.0000, 3.6812, 3.6812], [3.6812, 0.0000, 3.6812], [3.6812, 3.6812, 0.0000]], "species": ["Li", "Re", "Re", "Re", "Re", "Au"], "frac_coords": [[0.0000, 0.0000, 0.0000], [0.1257, 0.6248, 0.6248], [0.6248, 0.1257, 0.6248], [0.6248, 0.6248, 0.1257], [0.6248, 0.6248, 0.6248], [0.2500, 0.2500, 0.2500]], "magmom_total_mub_per_fu": 0.00, "spacegroup": "No. 216", "delta_e_f_ev_per_atom": 0.58}



What did the first record say?
{"formula": "LiRe2Au", "functional": "PBE", "state": "relaxed", "lattice_angstrom": [[2.7398, 0.0000, 0.0000], [0.0000, 4.9191, 0.0000], [-0.0665, 0.0000, 4.6032]], "species": ["Li", "Re", "Re", "Au"], "frac_coords": [[0.0000, 0.0000, 0.0000], [0.2872, 0.5000, 0.7582], [0.7128, 0.5000, 0.2418], [0.5000, 0.0000, 0.5000]], "magmom_total_mub_per_fu": 0.00, "spacegroup": "No. 10", "delta_e_f_ev_per_atom": 0.31}



- Which formula does entry 3 have?
  LiRe4Au